1.
Below is crystalline La6Pt5Cl at its relaxed geometry, with properties calculated at the GGA-PBE level.

Structure (CIF):
```
data_La6Pt5Cl
_chemical_formula_sum 'La6 Pt5 Cl1'
_space_group_name_H-M_alt 'P 1'
_space_group_IT_number 1
_space_group_name_Hall 'P 1'
_cell_length_a 7.408
_cell_length_b 7.413
_cell_length_c 7.408
_cell_angle_alpha 59.98
_cell_angle_beta 80.53
_cell_angle_gamma 70.81
loop_
_atom_site_label
_atom_site_fract_x
_atom_site_fract_y
_atom_site_fract_z
Cl1 0.000 0.000 0.000
Pt1 0.500 0.159 0.681
Pt2 0.000 0.332 0.335
Pt3 0.500 0.500 0.000
Pt4 0.000 0.668 0.665
Pt5 0.500 0.841 0.319
La1 0.740 0.087 0.350
La2 0.260 0.563 0.350
La3 0.255 0.265 0.000
La4 0.745 0.735 0.000
La5 0.740 0.437 0.650
La6 0.260 0.913 0.650
```

DOS(E_F), states/eV per cell: 6.44
Uncorrected formation energy, meV per atom: -1287

---

2.
Below is crystalline KScMo2 at its relaxed geometry, with properties calculated at the GGA-PBE level.

Structure (CIF):
```
data_KScMo2
_chemical_formula_sum 'K1 Sc1 Mo2'
_space_group_name_H-M_alt 'P 1'
_space_group_IT_number 1
_space_group_name_Hall 'P 1'
_cell_length_a 3.735
_cell_length_b 3.735
_cell_length_c 7.670
_cell_angle_alpha 90.00
_cell_angle_beta 90.00
_cell_angle_gamma 90.00
loop_
_atom_site_label
_atom_site_fract_x
_atom_site_fract_y
_atom_site_fract_z
K1 0.500 0.500 0.750
Mo1 0.000 0.000 0.106
Mo2 0.000 0.000 0.394
Sc1 0.500 0.500 0.250
```

Energy above the most stable polymorph in this dataset, eV/atom: 0.3827
DFT formation energy, eV/atom: 0.86
DOS(E_F), states/eV per cell: 6.10

---

3.
Below is crystalline AcY2F8 at its relaxed geometry, with properties calculated at the GGA-PBE level.

Structure (CIF):
```
data_AcY2F8
_chemical_formula_sum 'Ac1 Y2 F8'
_space_group_name_H-M_alt 'P 1'
_space_group_IT_number 1
_space_group_name_Hall 'P 1'
_cell_length_a 4.292
_cell_length_b 6.369
_cell_length_c 6.369
_cell_angle_alpha 113.05
_cell_angle_beta 98.41
_cell_angle_gamma 98.41
loop_
_atom_site_label
_atom_site_fract_x
_atom_site_fract_y
_atom_site_fract_z
Ac1 0.500 0.000 0.000
Y1 0.000 0.320 0.680
Y2 0.000 0.680 0.320
F1 0.928 0.943 0.684
F2 0.928 0.684 0.943
F3 0.295 0.621 0.621
F4 0.500 0.757 0.243
F5 0.500 0.243 0.757
F6 0.705 0.379 0.379
F7 0.072 0.316 0.057
F8 0.072 0.057 0.316
```

DOS(E_F), states/eV per cell: 3.12
Uncorrected formation energy, meV per atom: -3880

---

4.
Below is crystalline Tb4Er5Sc4 at its relaxed geometry, with properties calculated at the GGA-PBE level.

Structure (CIF):
```
data_Tb4Er5Sc4
_chemical_formula_sum 'Tb4 Er5 Sc4'
_space_group_name_H-M_alt 'P 1'
_space_group_IT_number 1
_space_group_name_Hall 'P 1'
_cell_length_a 4.880
_cell_length_b 9.118
_cell_length_c 9.118
_cell_angle_alpha 85.89
_cell_angle_beta 74.48
_cell_angle_gamma 74.48
loop_
_atom_site_label
_atom_site_fract_x
_atom_site_fract_y
_atom_site_fract_z
Tb1 0.921 0.460 0.698
Tb2 0.619 0.302 0.460
Tb3 0.079 0.540 0.302
Tb4 0.381 0.698 0.540
Er1 0.691 0.851 0.767
Er2 0.309 0.149 0.233
Er3 0.000 0.000 0.000
Er4 0.542 0.767 0.149
Er5 0.458 0.233 0.851
Sc1 0.768 0.387 0.077
Sc2 0.232 0.613 0.923
Sc3 0.845 0.923 0.387
Sc4 0.155 0.077 0.613
```

DFT formation energy, eV/atom: 0.04
DOS(E_F), states/eV per cell: 20.21

---

What is the DOS(E_F) in the fourth record? 20.21 states/eV per cell

---

Copy entry 3 word for word.
Below is crystalline AcY2F8 at its relaxed geometry, with properties calculated at the GGA-PBE level.

Structure (CIF):
```
data_AcY2F8
_chemical_formula_sum 'Ac1 Y2 F8'
_space_group_name_H-M_alt 'P 1'
_space_group_IT_number 1
_space_group_name_Hall 'P 1'
_cell_length_a 4.292
_cell_length_b 6.369
_cell_length_c 6.369
_cell_angle_alpha 113.05
_cell_angle_beta 98.41
_cell_angle_gamma 98.41
loop_
_atom_site_label
_atom_site_fract_x
_atom_site_fract_y
_atom_site_fract_z
Ac1 0.500 0.000 0.000
Y1 0.000 0.320 0.680
Y2 0.000 0.680 0.320
F1 0.928 0.943 0.684
F2 0.928 0.684 0.943
F3 0.295 0.621 0.621
F4 0.500 0.757 0.243
F5 0.500 0.243 0.757
F6 0.705 0.379 0.379
F7 0.072 0.316 0.057
F8 0.072 0.057 0.316
```

DOS(E_F), states/eV per cell: 3.12
Uncorrected formation energy, meV per atom: -3880

---

Look up the DOS(E_F) of the second one. 6.10 states/eV per cell